Entry 1:
This record from Alexandria via LeMat-Bulk describes a relaxed structure of PrPu2Tl3S6. The functional is PBE.

Output
Space-group type = No. 12

a = 7.1510 Å, b = 7.1510 Å, c = 7.8382 Å
α = 98.74°, β = 98.74°, γ = 119.98°
Last column: nearest neighbours and their distance in Å.
Sites, in units of the cell vectors:
Tl  0.8337  0.1663  0.5000  6 S 3.22-3.31
S  0.4106  0.0665  0.1996  2 Pu 2.78, 1 Pr 2.88
Pu  0.3333  0.6667  0.0000  6 S 2.77-2.78
S  0.0665  0.4106  0.1996  2 Pu 2.78, 1 Pr 2.88
S  0.2783  0.2783  0.8024  2 Pu 2.77, 1 Pr 2.87
S  0.9335  0.5894  0.8004  2 Pu 2.78, 1 Pr 2.88
Pr  0.0000  0.0000  0.0000  6 S 2.87-2.88
S  0.5894  0.9335  0.8004  2 Pu 2.78, 1 Pr 2.88
Pu  0.6667  0.3333  0.0000  6 S 2.77-2.78
S  0.7217  0.7217  0.1976  2 Pu 2.77, 1 Pr 2.87
Tl  0.1663  0.8337  0.5000  6 S 3.22-3.31
Tl  0.5000  0.5000  0.5000  6 S 3.23-3.30

---

Entry 2:
This record from Alexandria via LeMat-Bulk describes a relaxed structure of Pr3TmPu2S6. The functional is PBE.

Output
Space-group type = No. 12

a = 6.9200 Å, b = 6.9200 Å, c = 7.0000 Å
α = 99.47°, β = 99.47°, γ = 120.01°
Last column: nearest neighbours and their distance in Å.
Sites, in units of the cell vectors:
S  0.0774  0.4062  0.2325  1 Tm 2.75, 2 Pu 2.78-2.79, 3 Pr 2.89-2.92
Pr  0.8317  0.1683  0.5000  6 S 2.89-2.92
Tm  0.0000  0.0000  0.0000  6 S 2.75
S  0.5938  0.9226  0.7675  1 Tm 2.75, 2 Pu 2.78-2.79, 3 Pr 2.89-2.92
Pr  0.5000  0.5000  0.5000  6 S 2.89-2.92
S  0.9226  0.5938  0.7675  1 Tm 2.75, 2 Pu 2.78-2.79, 3 Pr 2.89-2.92
Pr  0.1683  0.8317  0.5000  6 S 2.89-2.92
Pu  0.6664  0.3336  0.0000  6 S 2.78-2.79
Pu  0.3336  0.6664  0.0000  6 S 2.78-2.79
S  0.7499  0.7499  0.2352  1 Tm 2.75, 2 Pu 2.79, 3 Pr 2.90-2.92
S  0.2501  0.2501  0.7648  1 Tm 2.75, 2 Pu 2.79, 3 Pr 2.90-2.92
S  0.4062  0.0774  0.2325  1 Tm 2.75, 2 Pu 2.78-2.79, 3 Pr 2.89-2.92

---

Entry 3:
This record from Alexandria via LeMat-Bulk describes a relaxed structure of Pr4Tm3PuS8. The functional is PBE.

Output
Space-group type = No. 166

a = 7.9155 Å, b = 8.0450 Å, c = 7.9160 Å
α = 119.47°, β = 120.00°, γ = 90.00°
Last column: nearest neighbours and their distance in Å.
Sites, in units of the cell vectors:
Pr  0.5000  0.0000  0.5000  6 S 2.92
Tm  0.0000  0.5000  0.5000  6 S 2.73
S  0.2454  0.7291  0.4907  2 Tm 2.73, 1 Pu 2.77, 3 Pr 2.88-2.92
S  0.7546  0.2709  0.5093  2 Tm 2.73, 1 Pu 2.77, 3 Pr 2.88-2.92
Pr  0.0000  0.0000  0.0000  6 S 2.92
Pu  0.0000  0.5000  0.0000  6 S 2.77
S  0.2582  0.2746  0.5164  3 Tm 2.73, 3 Pr 2.92
Tm  0.5000  0.5000  0.5000  6 S 2.73
Pr  0.5000  0.0000  0.0000  6 S 2.88
S  0.2616  0.2708  0.0162  2 Tm 2.73, 1 Pu 2.77, 3 Pr 2.88-2.92
Pr  0.0000  0.0000  0.5000  6 S 2.92
S  0.7418  0.7254  0.4836  3 Tm 2.73, 3 Pr 2.92
S  0.7384  0.7292  0.9838  2 Tm 2.73, 1 Pu 2.77, 3 Pr 2.88-2.92
S  0.7546  0.2708  0.0162  2 Tm 2.73, 1 Pu 2.77, 3 Pr 2.88-2.92
S  0.2454  0.7292  0.9838  2 Tm 2.73, 1 Pu 2.77, 3 Pr 2.88-2.92
Tm  0.5000  0.5000  0.0000  6 S 2.73

---

| no. | ΔE_f (raw) (meV per atom) | total magnetic moment (μB per atom) |
| --- | --- | --- |
| 1 | -1282 | 0.83 |
| 2 | -1936 | 0.93 |
| 3 | -1970 | 0.35 |